Entry 1:
# ZrTe2RhN, optimized geometry, DFT GGA-PBE
data_ZrTe2RhN
_chemical_formula_sum 'Zr1 Te2 Rh1 N1'
_space_group_name_H-M_alt 'P 1'
_space_group_IT_number 1
_space_group_name_Hall 'P 1'
_cell_length_a 5.678
_cell_length_b 5.678
_cell_length_c 3.911
_cell_angle_alpha 90.00
_cell_angle_beta 90.00
_cell_angle_gamma 90.00
loop_
_atom_site_label
_atom_site_type_symbol
_atom_site_fract_x
_atom_site_fract_y
_atom_site_fract_z
Te1 Te 0.000 0.500 0.000
Te2 Te 0.500 0.000 0.000
Rh1 Rh 0.500 0.500 0.500
Zr1 Zr 0.000 0.000 0.000
N1 N 0.000 0.000 0.500
# **DFT total energy**: -28.03 eV for the cell shown
# **Energy above the most stable polymorph in this dataset**: 0.2963 eV per atom


Entry 2:
# ZrTe2RhN, optimized geometry, DFT GGA-PBE
data_ZrTe2RhN
_chemical_formula_sum 'Zr1 Te2 Rh1 N1'
_space_group_name_H-M_alt 'P 1'
_space_group_IT_number 1
_space_group_name_Hall 'P 1'
_cell_length_a 5.425
_cell_length_b 5.425
_cell_length_c 3.688
_cell_angle_alpha 90.00
_cell_angle_beta 90.00
_cell_angle_gamma 90.00
loop_
_atom_site_label
_atom_site_type_symbol
_atom_site_fract_x
_atom_site_fract_y
_atom_site_fract_z
Te1 Te 0.000 0.500 0.000
Te2 Te 0.500 0.000 0.000
Rh1 Rh 0.000 0.000 0.000
Zr1 Zr 0.500 0.500 0.500
N1 N 0.000 0.000 0.500
# **DFT total energy**: -29.51 eV for the cell shown
# **Energy above the most stable polymorph in this dataset**: 0.0000 eV per atom


Entry 3:
# Th2RhN, optimized geometry, DFT GGA-PBE
data_Th2RhN
_chemical_formula_sum 'Th2 Rh1 N1'
_space_group_name_H-M_alt 'P 1'
_space_group_IT_number 1
_space_group_name_Hall 'P 1'
_cell_length_a 3.715
_cell_length_b 3.715
_cell_length_c 7.440
_cell_angle_alpha 75.54
_cell_angle_beta 75.54
_cell_angle_gamma 60.00
loop_
_atom_site_label
_atom_site_type_symbol
_atom_site_fract_x
_atom_site_fract_y
_atom_site_fract_z
Th1 Th 0.093 0.093 0.720
Th2 Th 0.248 0.248 0.257
Rh1 Rh 0.670 0.670 0.990
N1 N 0.489 0.489 0.532
# **DFT total energy**: -33.58 eV for the cell shown
# **Energy above the most stable polymorph in this dataset**: 0.2241 eV per atom


- Number 1 is which compound?
  ZrTe2RhN